1.
8
Lattice="2.775 0.000 0.000 0.000 4.378 0.000 0.000 0.000 11.668" Properties=species:S:1:pos:R:3 comment="TlTcOs2 PBE optimized geometry" formation_energy_ev_per_atom=0.83 sg="No. 44" dos_ef_per_ev_atom=0.908 pbc="T T T"
Tl 0.000 0.000 0.000
Tl 1.388 2.189 5.834
Tc 0.000 2.189 1.897
Tc 1.388 0.000 7.731
Os 0.000 0.000 4.832
Os 0.000 2.189 8.561
Os 1.388 0.000 2.727
Os 1.388 2.189 10.666

2.
4
Lattice="2.850 0.000 0.000 0.000 3.910 0.000 0.000 0.000 5.990" Properties=species:S:1:pos:R:3 comment="TlTc2Os PBE optimized geometry" formation_energy_ev_per_atom=0.59 sg="No. 25" dos_ef_per_ev_atom=1.170 pbc="T T T"
Tl 0.000 0.000 0.000
Tc 0.000 0.000 2.941
Tc 1.425 1.955 4.346
Os 1.425 1.955 1.827

3.
8
Lattice="3.929 0.000 0.000 0.000 3.929 0.000 0.000 0.000 8.318" Properties=species:S:1:pos:R:3 comment="TlTcOs2 PBE optimized geometry" formation_energy_ev_per_atom=0.85 sg="No. 119" dos_ef_per_ev_atom=1.339 pbc="T T T"
Tl 0.000 0.000 0.000
Tl 1.965 1.965 4.159
Tc 0.000 1.965 2.080
Tc 1.965 0.000 6.239
Os 0.000 0.000 4.159
Os 0.000 1.965 6.239
Os 1.965 0.000 2.080
Os 1.965 1.965 0.000

4.
4
Lattice="4.698 0.000 0.000 0.000 4.698 0.000 0.000 0.000 2.957" Properties=species:S:1:pos:R:3 comment="TlTc2Os PBE optimized geometry" formation_energy_ev_per_atom=0.83 sg="No. 123" dos_ef_per_ev_atom=1.406 pbc="T T T"
Tl 0.000 0.000 0.000
Tc 0.000 2.349 1.479
Tc 2.349 0.000 1.479
Os 2.349 2.349 0.000

5.
4
Lattice="2.851 0.000 0.000 0.000 2.851 0.000 0.000 0.000 8.039" Properties=species:S:1:pos:R:3 comment="TlTcOs2 PBE optimized geometry" formation_energy_ev_per_atom=0.58 sg="No. 99" dos_ef_per_ev_atom=1.261 pbc="T T T"
Tl 0.000 0.000 0.000
Tc 1.425 1.425 5.807
Os 0.000 0.000 4.008
Os 1.425 1.425 2.244

6.
4
Lattice="2.833 0.000 0.000 0.000 3.850 0.000 0.000 0.000 6.047" Properties=species:S:1:pos:R:3 comment="TlTcOs2 PBE optimized geometry" formation_energy_ev_per_atom=0.70 sg="No. 47" dos_ef_per_ev_atom=1.308 pbc="T T T"
Tl 0.000 0.000 0.000
Tc 0.000 0.000 3.023
Os 1.417 1.925 1.728
Os 1.417 1.925 4.319

7.
6
Lattice="2.926 0.000 0.000 0.000 2.926 0.000 0.000 0.000 12.094" Properties=species:S:1:pos:R:3 comment="TlTcOs PBE optimized geometry" formation_energy_ev_per_atom=0.47 sg="No. 107" dos_ef_per_ev_atom=0.435 pbc="T T T"
Tl 0.000 0.000 0.000
Tl 1.463 1.463 6.047
Tc 0.000 0.000 3.809
Tc 1.463 1.463 9.856
Os 0.000 0.000 8.300
Os 1.463 1.463 2.253

8.
8
Lattice="2.909 0.000 0.000 0.000 4.715 0.000 0.000 0.000 9.711" Properties=species:S:1:pos:R:3 comment="TlTc2Os PBE optimized geometry" formation_energy_ev_per_atom=0.74 sg="No. 44" dos_ef_per_ev_atom=1.311 pbc="T T T"
Tl 0.000 0.000 0.000
Tl 1.454 2.357 4.856
Tc 0.000 0.000 4.790
Tc 0.000 2.357 2.147
Tc 1.454 0.000 7.003
Tc 1.454 2.357 9.646
Os 0.000 2.357 7.490
Os 1.454 0.000 2.635

9.
16
Lattice="6.409 0.000 0.000 0.000 6.409 0.000 0.000 0.000 6.409" Properties=species:S:1:pos:R:3 comment="TlTcOs2 PBE optimized geometry" formation_energy_ev_per_atom=0.95 sg="No. 225" dos_ef_per_ev_atom=0.205 pbc="T T T"
Tl 0.000 0.000 0.000
Tl 0.000 3.204 3.204
Tl 3.204 0.000 3.204
Tl 3.204 3.204 0.000
Tc 0.000 0.000 3.204
Tc 0.000 3.204 0.000
Tc 3.204 0.000 0.000
Tc 3.204 3.204 3.204
Os 1.602 1.602 1.602
Os 1.602 1.602 4.807
Os 1.602 4.807 1.602
Os 1.602 4.807 4.807
Os 4.807 1.602 1.602
Os 4.807 1.602 4.807
Os 4.807 4.807 1.602
Os 4.807 4.807 4.807

10.
8
Lattice="2.927 0.000 0.000 0.000 4.852 0.000 0.000 0.000 9.474" Properties=species:S:1:pos:R:3 comment="TlTc2Os PBE optimized geometry" formation_energy_ev_per_atom=0.79 sg="No. 35" dos_ef_per_ev_atom=1.378 pbc="T T T"
Tl 0.000 0.000 0.000
Tl 1.463 2.426 0.000
Tc 0.000 0.000 4.757
Tc 0.000 2.426 6.903
Tc 1.463 0.000 6.903
Tc 1.463 2.426 4.757
Os 0.000 2.426 2.580
Os 1.463 0.000 2.580

11.
4
Lattice="2.853 0.000 0.000 0.000 2.853 0.000 0.000 0.000 8.059" Properties=species:S:1:pos:R:3 comment="TlTc2Os PBE optimized geometry" formation_energy_ev_per_atom=0.46 sg="No. 123" dos_ef_per_ev_atom=1.417 pbc="T T T"
Tl 0.000 0.000 0.000
Tc 1.427 1.427 2.248
Tc 1.427 1.427 5.811
Os 0.000 0.000 4.029

12.
3
Lattice="4.556 0.000 0.000 -2.278 3.946 0.000 0.000 0.000 2.848" Properties=species:S:1:pos:R:3 comment="TlTcOs PBE optimized geometry" formation_energy_ev_per_atom=0.98 sg="No. 187" dos_ef_per_ev_atom=0.901 pbc="T T T"
Tl 0.000 0.000 0.000
Tc 2.278 1.315 1.424
Os 0.000 2.630 0.000